# H2Pd (PBE, optimized geometry)
# - Raw total energy: -11.8 eV for the cell shown
data_H2Pd
_symmetry_space_group_name_H-M 'P 1'
_symmetry_Int_Tables_number 1
_cell_length_a 2.904
_cell_length_b 2.905
_cell_length_c 3.834
_cell_angle_alpha 68.37
_cell_angle_beta 68.16
_cell_angle_gamma 60.04
loop_
_symmetry_equiv_pos_as_xyz
'x,y,z'
loop_
_atom_site_label
_atom_site_type_symbol
_atom_site_fract_x
_atom_site_fract_y
_atom_site_fract_z
H1 H 0.761 0.763 0.717
H2 H 0.239 0.237 0.283
Pd1 Pd 0.500 0.500 0.500